## BaSr2HgPd (PBE)

Data for BaSr2HgPd after structural relaxation.

Properties
Energy above the lowest structure with this stoichiometry ... 63 meV/atom
Raw total energy ... -2.427 eV/atom
Energy of formation ... -0.270 eV per atom
Calculated volume ... 192.35 Å³/cell

Cell and atoms, written as CIF:
```
data_BaSr2HgPd
_space_group_name_H-M_alt 'P 4/m m m'
_space_group_IT_number 123
_space_group_name_Hall '-P 4 2'
_cell_length_a 5.885
_cell_length_b 5.885
_cell_length_c 5.553
_cell_angle_alpha 90.00
_cell_angle_beta 90.00
_cell_angle_gamma 90.00
loop_
_atom_site_label
_atom_site_type_symbol
_atom_site_fract_x
_atom_site_fract_y
_atom_site_fract_z
Ba1 Ba 0.000 0.000 0.000
Sr1 Sr 0.000 0.500 0.500
Hg1 Hg 0.500 0.500 0.000
Pd1 Pd 0.500 0.500 0.500
```